Below is AcPr4Al4 after structural relaxation, with properties calculated at the PBE level.

It has space group P4_2/n (No. 86, origin choice 2), with a = 9.3839 Å, b = 9.3839 Å, c = 6.0838 Å, α = 90.00°, β = 90.00° and γ = 90.00°. The asymmetric unit holds Ac at (0.2500, 0.2500, 0.2500), Pr at (0.0930, 0.8336, 0.6086) and Al at (0.0219, 0.1207, 0.8809).

For the formation energy, the calculation gives -0.0750 eV per atom. Its total energy is -4.319 eV per atom.